# RbTiMnO4 (GGA+U, optimized geometry)
# VASP energy = -7.261 eV/atom
# N(E_F) = 0.547 states/eV/cell
# Total magnetization = 4.0 μB/f.u.
data_RbTiMnO4
_chemical_formula_sum 'Rb2 Ti2 Mn2 O8'
_symmetry_space_group_name_H-M 'P 1'
_symmetry_Int_Tables_number 1
_cell_length_a 5.459
_cell_length_b 5.767
_cell_length_c 8.267
_cell_angle_alpha 90.00
_cell_angle_beta 119.21
_cell_angle_gamma 90.00
loop_
_symmetry_equiv_pos_as_xyz
'x,y,z'
loop_
_atom_site_label
_atom_site_type_symbol
_atom_site_fract_x
_atom_site_fract_y
_atom_site_fract_z
_atom_site_occupancy
Rb1 Rb 0.527 0.750 0.891 1
Rb2 Rb 0.473 0.250 0.109 1
Ti1 Ti 0.218 0.750 0.346 1
Ti2 Ti 0.782 0.250 0.654 1
Mn1 Mn 0.790 0.750 0.463 1
Mn2 Mn 0.210 0.250 0.537 1
O1 O 0.017 0.485 0.664 1
O2 O 0.983 0.985 0.336 1
O3 O 0.983 0.515 0.336 1
O4 O 0.017 0.015 0.664 1
O5 O 0.424 0.750 0.221 1
O6 O 0.576 0.250 0.779 1
O7 O 0.541 0.750 0.567 1
O8 O 0.459 0.250 0.433 1